No. 1
{"formula": "LiMgPaGa", "functional": "PBE", "state": "optimized geometry", "crystal_system": "cubic", "formation_energy_ev_per_atom": 0.073, "final_energy_ev_per_atom": -3.934, "volume_a3_per_cell": 81.7, "lattice_angstrom": [[0.0000, 3.4440, 3.4440], [3.4440, 0.0000, 3.4440], [3.4440, 3.4440, 0.0000]], "species": ["Li", "Mg", "Pa", "Ga"], "fractional_positions": [[0.0000, 0.0000, 0.0000], [0.7500, 0.7500, 0.7500], [0.2500, 0.2500, 0.2500], [0.5000, 0.5000, 0.5000]]}

***

No. 2
{"formula": "BaGaCoCu2", "functional": "PBE", "state": "optimized geometry", "crystal_system": "tetragonal", "formation_energy_ev_per_atom": 0.673, "final_energy_ev_per_atom": -3.377, "volume_a3_per_cell": 118.1, "lattice_angstrom": [[4.7376, 0.0000, 0.0000], [0.0000, 4.7376, 0.0000], [0.0000, 0.0000, 5.2613]], "species": ["Ba", "Ga", "Co", "Cu", "Cu"], "fractional_positions": [[0.0000, 0.0000, 0.0000], [0.5000, 0.5000, 0.0000], [0.0000, 0.0000, 0.5000], [0.0000, 0.5000, 0.5000], [0.5000, 0.0000, 0.5000]]}

***

No. 3
{"formula": "Sb2IrSe", "functional": "PBE", "state": "optimized geometry", "raw_formation_energy_ev_per_atom": 0.14, "crystal_system": "tetragonal", "final_energy_ev_per_atom": -5.005, "volume_a3_per_cell": 85.2, "lattice_angstrom": [[3.3677, 0.0000, 0.0000], [0.0000, 3.3677, 0.0000], [0.0000, 0.0000, 7.5087]], "species": ["Sb", "Sb", "Ir", "Se"], "fractional_positions": [[0.0000, 0.0000, 0.2179], [0.0000, 0.0000, 0.7821], [0.5000, 0.5000, 0.0000], [0.5000, 0.5000, 0.5000]]}

***

No. 4
{"formula": "La2Ag2Mo", "functional": "PBE", "state": "optimized geometry", "crystal_system": "tetragonal", "polymorph_energy_ev_per_atom": 0.000, "formation_energy_ev_per_atom": 0.411, "final_energy_ev_per_atom": -4.866, "volume_a3_per_cell": 254.0, "lattice_angstrom": [[8.4419, 0.0000, 0.0000], [0.0000, 8.4419, 0.0000], [0.0000, 0.0000, 3.5637]], "species": ["La", "La", "La", "La", "Ag", "Ag", "Ag", "Ag", "Mo", "Mo"], "fractional_positions": [[0.1861, 0.3139, 0.0000], [0.3139, 0.8139, 0.0000], [0.6861, 0.1861, 0.0000], [0.8139, 0.6861, 0.0000], [0.1158, 0.6158, 0.5000], [0.3842, 0.1158, 0.5000], [0.6158, 0.8842, 0.5000], [0.8842, 0.3842, 0.5000], [0.0000, 0.0000, 0.5000], [0.5000, 0.5000, 0.5000]]}

***

No. 5
{"formula": "MgCr2Br", "functional": "PBE", "state": "optimized geometry", "raw_formation_energy_ev_per_atom": 0.65, "crystal_system": "orthorhombic", "polymorph_energy_ev_per_atom": 0.463, "final_energy_ev_per_atom": -4.982, "volume_a3_per_cell": 83.3, "lattice_angstrom": [[2.9787, -4.3172, 0.0000], [2.9787, 4.3172, 0.0000], [0.0000, 0.0000, 3.2369]], "species": ["Mg", "Cr", "Cr", "Br"], "fractional_positions": [[0.0000, 0.0000, 0.0000], [0.0000, 0.5000, 0.5000], [0.5000, 0.0000, 0.5000], [0.5000, 0.5000, 0.0000]]}

***

No. 6
{"formula": "BaLiAgAu", "functional": "PBE", "state": "optimized geometry", "crystal_system": "trigonal", "polymorph_energy_ev_per_atom": 0.000, "formation_energy_ev_per_atom": -0.461, "final_energy_ev_per_atom": -2.952, "volume_a3_per_cell": 108.0, "lattice_angstrom": [[2.3444, 1.3535, 5.6729], [-2.3444, 1.3535, 5.6729], [0.0000, -2.7071, 5.6729]], "species": ["Ba", "Li", "Ag", "Au"], "fractional_positions": [[0.0000, 0.0000, 0.0000], [0.5055, 0.5055, 0.5055], [0.7996, 0.7996, 0.7996], [0.2026, 0.2026, 0.2026]]}

***

No. 7
{"formula": "TePd6Au3", "functional": "PBE", "state": "optimized geometry", "raw_formation_energy_ev_per_atom": 0.01, "crystal_system": "monoclinic", "polymorph_energy_ev_per_atom": 0.172, "final_energy_ev_per_atom": -4.402, "volume_a3_per_cell": 362.7, "lattice_angstrom": [[6.8355, 0.0000, 0.0000], [0.0000, 7.0320, 0.0000], [-6.6574, 0.0000, 7.5456]], "species": ["Te", "Te", "Pd", "Pd", "Pd", "Pd", "Pd", "Pd", "Pd", "Pd", "Pd", "Pd", "Pd", "Pd", "Au", "Au", "Au", "Au", "Au", "Au"], "fractional_positions": [[0.0000, 0.0000, 0.0000], [0.0000, 0.5000, 0.5000], [0.0292, 0.1064, 0.7539], [0.0292, 0.3936, 0.2539], [0.1819, 0.1512, 0.5542], [0.1819, 0.3488, 0.0542], [0.4092, 0.6401, 0.5571], [0.4092, 0.8599, 0.0571], [0.5908, 0.1401, 0.9429], [0.5908, 0.3599, 0.4429], [0.8181, 0.6512, 0.9458], [0.8181, 0.8488, 0.4458], [0.9708, 0.6064, 0.7461], [0.9708, 0.8936, 0.2461], [0.3344, 0.6785, 0.2576], [0.3344, 0.8215, 0.7576], [0.5000, 0.0000, 0.5000], [0.5000, 0.5000, 0.0000], [0.6656, 0.1785, 0.2424], [0.6656, 0.3215, 0.7424]]}

***

No. 8
{"formula": "BaSn2I", "functional": "PBE", "state": "optimized geometry", "raw_formation_energy_ev_per_atom": -0.07, "crystal_system": "cubic", "polymorph_energy_ev_per_atom": 0.110, "final_energy_ev_per_atom": -2.939, "volume_a3_per_cell": 143.7, "lattice_angstrom": [[0.0000, 4.1575, 4.1575], [4.1575, 0.0000, 4.1575], [4.1575, 4.1575, 0.0000]], "species": ["Ba", "Sn", "Sn", "I"], "fractional_positions": [[0.0000, 0.0000, 0.0000], [0.2500, 0.2500, 0.2500], [0.7500, 0.7500, 0.7500], [0.5000, 0.5000, 0.5000]]}